No. 1
# Hf2CdSiPd | Alexandria | SCAN | single point on PBEsol structure
data_Hf2CdSiPd
_space_group_name_H-M_alt 'P 4/m m m'
_space_group_IT_number 123
_space_group_name_Hall '-P 4 2'
_cell_length_a 4.8377
_cell_length_b 4.8377
_cell_length_c 4.5835
_cell_angle_alpha 90.00
_cell_angle_beta 90.00
_cell_angle_gamma 90.00
loop_
_atom_site_label
_atom_site_type_symbol
_atom_site_fract_x
_atom_site_fract_y
_atom_site_fract_z
Hf1 Hf 0.0000 0.5000 0.0000
Cd1 Cd 0.0000 0.0000 0.5000
Si1 Si 0.0000 0.0000 0.0000
Pd1 Pd 0.5000 0.5000 0.5000
# Magnetic moment: 0.0 Bohr magnetons per cell
# E_tot: -39.244 eV per atom
# DOS at the Fermi energy: 3.9 states/eV/f.u.

=====

No. 2
# HfZnCdPd2 | Alexandria | SCAN | single point on PBEsol structure
data_HfZnCdPd2
_space_group_name_H-M_alt 'P 4/m m m'
_space_group_IT_number 123
_space_group_name_Hall '-P 4 2'
_cell_length_a 4.7994
_cell_length_b 4.7994
_cell_length_c 5.4576
_cell_angle_alpha 90.00
_cell_angle_beta 90.00
_cell_angle_gamma 90.00
loop_
_atom_site_label
_atom_site_type_symbol
_atom_site_fract_x
_atom_site_fract_y
_atom_site_fract_z
Hf1 Hf 0.0000 0.0000 0.0000
Zn1 Zn 0.5000 0.5000 0.5000
Cd1 Cd 0.0000 0.0000 0.5000
Pd1 Pd 0.0000 0.5000 0.0000
# Magnetic moment: 0.0 Bohr magnetons per cell
# Calculated formation energy: 0.8926 eV/atom
# DOS at the Fermi energy: 2.9 states/eV/f.u.

=====

No. 3
# HfCd2Pt | Alexandria | SCAN | single point on PBEsol structure
data_HfCd2Pt
_space_group_name_H-M_alt 'F m -3 m'
_space_group_IT_number 225
_space_group_name_Hall '-F 4 2 3'
_cell_length_a 6.5867
_cell_length_b 6.5867
_cell_length_c 6.5867
_cell_angle_alpha 90.00
_cell_angle_beta 90.00
_cell_angle_gamma 90.00
loop_
_atom_site_label
_atom_site_type_symbol
_atom_site_fract_x
_atom_site_fract_y
_atom_site_fract_z
Hf1 Hf 0.0000 0.0000 0.0000
Cd1 Cd 0.2500 0.2500 0.2500
Pt1 Pt 0.0000 0.0000 0.5000
# Magnetic moment: 0.0 Bohr magnetons per cell
# Calculated formation energy: -0.2171 eV/atom
# DOS at the Fermi energy: 1.3 states/eV/f.u.

=====

No. 4
# Hf3CdPt | Alexandria | SCAN | single point on PBEsol structure
data_Hf3CdPt
_space_group_name_H-M_alt 'P m -3 m'
_space_group_IT_number 221
_space_group_name_Hall '-P 4 2 3'
_cell_length_a 4.9969
_cell_length_b 4.9969
_cell_length_c 4.9969
_cell_angle_alpha 90.00
_cell_angle_beta 90.00
_cell_angle_gamma 90.00
loop_
_atom_site_label
_atom_site_type_symbol
_atom_site_fract_x
_atom_site_fract_y
_atom_site_fract_z
Hf1 Hf 0.0000 0.0000 0.5000
Cd1 Cd 0.5000 0.5000 0.5000
Pt1 Pt 0.0000 0.0000 0.0000
# Magnetic moment: 0.0 Bohr magnetons per cell
# Calculated formation energy: 0.0976 eV/atom
# DOS at the Fermi energy: 6.1 states/eV/f.u.

=====

No. 5
# HfZrCdRe2 | Alexandria | SCAN | single point on PBEsol structure
data_HfZrCdRe2
_space_group_name_H-M_alt 'P 4/m m m'
_space_group_IT_number 123
_space_group_name_Hall '-P 4 2'
_cell_length_a 4.8269
_cell_length_b 4.8269
_cell_length_c 4.7788
_cell_angle_alpha 90.00
_cell_angle_beta 90.00
_cell_angle_gamma 90.00
loop_
_atom_site_label
_atom_site_type_symbol
_atom_site_fract_x
_atom_site_fract_y
_atom_site_fract_z
Hf1 Hf 0.0000 0.0000 0.0000
Zr1 Zr 0.5000 0.5000 0.0000
Cd1 Cd 0.0000 0.0000 0.5000
Re1 Re 0.0000 0.5000 0.5000
# Magnetic moment: 0.0 Bohr magnetons per cell
# Calculated formation energy: 2.0982 eV/atom
# DOS at the Fermi energy: 6.2 states/eV/f.u.

=====

No. 6
# Hf2ZnCdRh | Alexandria | SCAN | single point on PBEsol structure
data_Hf2ZnCdRh
_space_group_name_H-M_alt 'P 4/m m m'
_space_group_IT_number 123
_space_group_name_Hall '-P 4 2'
_cell_length_a 4.8542
_cell_length_b 4.8542
_cell_length_c 4.7241
_cell_angle_alpha 90.00
_cell_angle_beta 90.00
_cell_angle_gamma 90.00
loop_
_atom_site_label
_atom_site_type_symbol
_atom_site_fract_x
_atom_site_fract_y
_atom_site_fract_z
Hf1 Hf 0.0000 0.5000 0.0000
Zn1 Zn 0.0000 0.0000 0.5000
Cd1 Cd 0.5000 0.5000 0.5000
Rh1 Rh 0.0000 0.0000 0.0000
# Magnetic moment: 0.0 Bohr magnetons per cell
# Calculated formation energy: 0.1517 eV/atom
# DOS at the Fermi energy: 5.0 states/eV/f.u.

=====

No. 7
# HfCdRu3 | Alexandria | SCAN | single point on PBEsol structure
data_HfCdRu3
_space_group_name_H-M_alt 'P m -3 m'
_space_group_IT_number 221
_space_group_name_Hall '-P 4 2 3'
_cell_length_a 4.6547
_cell_length_b 4.6547
_cell_length_c 4.6547
_cell_angle_alpha 90.00
_cell_angle_beta 90.00
_cell_angle_gamma 90.00
loop_
_atom_site_label
_atom_site_type_symbol
_atom_site_fract_x
_atom_site_fract_y
_atom_site_fract_z
Hf1 Hf 0.0000 0.0000 0.0000
Cd1 Cd 0.5000 0.5000 0.5000
Ru1 Ru 0.0000 0.5000 0.5000
# Magnetic moment: 0.0 Bohr magnetons per cell
# Calculated formation energy: 1.9669 eV/atom
# DOS at the Fermi energy: 6.5 states/eV/f.u.

=====

No. 8
# HfCdS2 | Alexandria | SCAN | single point on PBEsol structure
data_HfCdS2
_space_group_name_H-M_alt 'R -3 m'
_space_group_IT_number 166
_space_group_name_Hall '-R 3 2"'
_cell_length_a 3.4691
_cell_length_b 3.4691
_cell_length_c 25.7221
_cell_angle_alpha 90.00
_cell_angle_beta 90.00
_cell_angle_gamma 120.00
loop_
_atom_site_label
_atom_site_type_symbol
_atom_site_fract_x
_atom_site_fract_y
_atom_site_fract_z
Hf1 Hf 0.0000 0.0000 0.0000
Cd1 Cd 0.0000 0.0000 0.5000
S1 S 0.0000 0.0000 0.3924
# Magnetic moment: 0.0 Bohr magnetons per cell
# E_tot: -29.294 eV per atom
# DOS at the Fermi energy: 1.0 states/eV/f.u.

=====

No. 9
# HfCdS2 | Alexandria | SCAN | single point on PBEsol structure
data_HfCdS2
_space_group_name_H-M_alt 'I -4 2 d'
_space_group_IT_number 122
_space_group_name_Hall 'I -4 2bw'
_cell_length_a 7.1369
_cell_length_b 7.1369
_cell_length_c 9.7466
_cell_angle_alpha 90.00
_cell_angle_beta 90.00
_cell_angle_gamma 90.00
loop_
_atom_site_label
_atom_site_type_symbol
_atom_site_fract_x
_atom_site_fract_y
_atom_site_fract_z
Hf1 Hf 0.0000 0.0000 0.0000
Cd1 Cd 0.0000 0.0000 0.5000
S1 S 0.1375 0.2500 0.1250
# Magnetic moment: 0.0 Bohr magnetons per cell
# E_tot: -28.896 eV per atom

=====

No. 10
# HfCdS2 | Alexandria | SCAN | single point on PBEsol structure
data_HfCdS2
_space_group_name_H-M_alt 'R -3 m'
_space_group_IT_number 166
_space_group_name_Hall '-R 3 2"'
_cell_length_a 3.7019
_cell_length_b 3.7019
_cell_length_c 23.3929
_cell_angle_alpha 90.00
_cell_angle_beta 90.00
_cell_angle_gamma 120.00
loop_
_atom_site_label
_atom_site_type_symbol
_atom_site_fract_x
_atom_site_fract_y
_atom_site_fract_z
Hf1 Hf 0.0000 0.0000 0.0000
Cd1 Cd 0.0000 0.0000 0.5000
S1 S 0.0000 0.0000 0.1014
# Magnetic moment: 0.0 Bohr magnetons per cell
# E_tot: -28.518 eV per atom
# DOS at the Fermi energy: 0.7 states/eV/f.u.

=====

No. 11
# HfCd3Sb | Alexandria | SCAN | single point on PBEsol structure
data_HfCd3Sb
_space_group_name_H-M_alt 'P m -3 m'
_space_group_IT_number 221
_space_group_name_Hall '-P 4 2 3'
_cell_length_a 5.2993
_cell_length_b 5.2993
_cell_length_c 5.2993
_cell_angle_alpha 90.00
_cell_angle_beta 90.00
_cell_angle_gamma 90.00
loop_
_atom_site_label
_atom_site_type_symbol
_atom_site_fract_x
_atom_site_fract_y
_atom_site_fract_z
Hf1 Hf 0.0000 0.0000 0.0000
Cd1 Cd 0.0000 0.5000 0.5000
Sb1 Sb 0.5000 0.5000 0.5000
# Magnetic moment: 0.0 Bohr magnetons per cell
# E_tot: -37.104 eV per atom
# DOS at the Fermi energy: 4.2 states/eV/f.u.

=====

No. 12
# Hf2Cd2Sb | Alexandria | SCAN | single point on PBEsol structure
data_Hf2Cd2Sb
_space_group_name_H-M_alt 'I 4/m m m'
_space_group_IT_number 139
_space_group_name_Hall '-I 4 2'
_cell_length_a 4.0192
_cell_length_b 4.0192
_cell_length_c 14.5409
_cell_angle_alpha 90.00
_cell_angle_beta 90.00
_cell_angle_gamma 90.00
loop_
_atom_site_label
_atom_site_type_symbol
_atom_site_fract_x
_atom_site_fract_y
_atom_site_fract_z
Hf1 Hf 0.0000 0.5000 0.2500
Cd1 Cd 0.0000 0.0000 0.0949
Sb1 Sb 0.0000 0.0000 0.5000
# Magnetic moment: 0.0 Bohr magnetons per cell
# E_tot: -44.308 eV per atom
# DOS at the Fermi energy: 3.7 states/eV/f.u.

=====

No. 13
# HfCdSn2Sb | Alexandria | SCAN | single point on PBEsol structure
data_HfCdSn2Sb
_space_group_name_H-M_alt 'P 4/m m m'
_space_group_IT_number 123
_space_group_name_Hall '-P 4 2'
_cell_length_a 5.4994
_cell_length_b 5.4994
_cell_length_c 5.1546
_cell_angle_alpha 90.00
_cell_angle_beta 90.00
_cell_angle_gamma 90.00
loop_
_atom_site_label
_atom_site_type_symbol
_atom_site_fract_x
_atom_site_fract_y
_atom_site_fract_z
Hf1 Hf 0.0000 0.0000 0.0000
Cd1 Cd 0.5000 0.5000 0.0000
Sn1 Sn 0.0000 0.5000 0.5000
Sb1 Sb 0.5000 0.5000 0.5000
# Magnetic moment: 0.0 Bohr magnetons per cell
# E_tot: -39.273 eV per atom
# DOS at the Fermi energy: 4.2 states/eV/f.u.

=====

No. 14
# HfSc2Cd | Alexandria | SCAN | single point on PBEsol structure
data_HfSc2Cd
_space_group_name_H-M_alt 'R -3 m'
_space_group_IT_number 166
_space_group_name_Hall '-R 3 2"'
_cell_length_a 3.0562
_cell_length_b 3.0562
_cell_length_c 33.0788
_cell_angle_alpha 90.00
_cell_angle_beta 90.00
_cell_angle_gamma 120.00
loop_
_atom_site_label
_atom_site_type_symbol
_atom_site_fract_x
_atom_site_fract_y
_atom_site_fract_z
Hf1 Hf 0.0000 0.0000 0.0000
Sc1 Sc 0.0000 0.0000 0.0901
Cd1 Cd 0.0000 0.0000 0.5000
# Magnetic moment: 4.3 Bohr magnetons per cell
# Calculated formation energy: 0.2166 eV/atom
# DOS at the Fermi energy: 3.5 states/eV/f.u.

=====

No. 15
# HfScCd3 | Alexandria | SCAN | single point on PBEsol structure
data_HfScCd3
_space_group_name_H-M_alt 'P m -3 m'
_space_group_IT_number 221
_space_group_name_Hall '-P 4 2 3'
_cell_length_a 5.2521
_cell_length_b 5.2521
_cell_length_c 5.2521
_cell_angle_alpha 90.00
_cell_angle_beta 90.00
_cell_angle_gamma 90.00
loop_
_atom_site_label
_atom_site_type_symbol
_atom_site_fract_x
_atom_site_fract_y
_atom_site_fract_z
Hf1 Hf 0.0000 0.0000 0.0000
Sc1 Sc 0.5000 0.5000 0.5000
Cd1 Cd 0.0000 0.0000 0.5000
# Magnetic moment: 0.0 Bohr magnetons per cell
# Calculated formation energy: 0.9133 eV/atom
# DOS at the Fermi energy: 6.7 states/eV/f.u.